VASP calculation (GGA-PBE) on a geometry-optimized Sm2Dy8Cd structure.

a = 9.3184 Å, b = 9.3184 Å, c = 7.8753 Å
α = 104.94°, β = 104.94°, γ = 30.99°
Last column: nearest neighbours and their distance in Å.
Fractional positions:
1 Sm 0.2234 0.2234 0.1366  10 Dy 3.45-3.60, 2 Sm 3.58
2 Sm 0.7766 0.7766 0.8634  10 Dy 3.45-3.60, 2 Sm 3.58
3 Dy 0.0449 0.0449 0.2223  9 Dy 3.44-3.53, 1 Sm 3.45, 2 Cd 3.55
4 Dy 0.1341 0.1341 0.6758  2 Cd 3.48, 7 Dy 3.49-3.57, 3 Sm 3.55-3.59
5 Dy 0.3194 0.3194 0.5895  8 Dy 3.49-3.59, 1 Cd 3.50, 3 Sm 3.51-3.52
6 Dy 0.4110 0.4110 0.0544  1 Cd 3.44, 8 Dy 3.47-3.59, 3 Sm 3.51-3.60
7 Dy 0.5890 0.5890 0.9456  1 Cd 3.44, 8 Dy 3.47-3.59, 3 Sm 3.51-3.60
8 Dy 0.6806 0.6806 0.4105  8 Dy 3.49-3.59, 1 Cd 3.50, 3 Sm 3.51-3.52
9 Dy 0.8659 0.8659 0.3242  2 Cd 3.48, 7 Dy 3.49-3.57, 3 Sm 3.55-3.59
10 Dy 0.9551 0.9551 0.7777  9 Dy 3.44-3.53, 1 Sm 3.45, 2 Cd 3.55
11 Cd 0.5000 0.5000 0.5000  12 Dy 3.44-3.55

Summary:
The value obtained for the electronic total energy is -47.29 eV for the cell shown. Its crystal system is monoclinic. Its total magnetization is 0.00 μB/f.u.